Computed, not measured: an optimized crystal structure of TbSi2Pd2Rh at the PBE level of DFT.

Calculated values
Volume = 112.4 Å³/cell
Energy relative to the elements, uncorrected = -47.9 kJ/mol of atoms
DOS(E_F) = 2.121 states/eV/f.u.

Cell: 4.5229 4.5229 5.4969 Å, 90.00 90.00 90.00°
Space group P4/mmm (No. 123)
Symmetry-distinct sites (fractional):
Tb 0.0000 0.0000 0.0000 x1
Si 0.0000 0.5000 0.5000 x2
Pd 0.5000 0.5000 0.2472 x2
Rh 0.0000 0.0000 0.5000 x1